A relaxed CdMo2PF crystal, computed with PBE+U.

Its raw total energy is -3.52 eV per atom. As for the space-group type: P4/mmm, No. 123.

Cell lengths 5.543, 5.543, 4.192 Å; angles 90.00, 90.00, 90.00 degrees
Element x y z (fractional)
F (0.000, 0.000, 0.500)
Cd (0.000, 0.000, 0.000)
Mo (0.000, 0.500, 0.000)
Mo (0.500, 0.000, 0.000)
P (0.500, 0.500, 0.500)